# 1
DFT (PBE) results for a geometry-optimized LiSbSe2 structure.

The calculation puts the spin magnetization at 0.00 μB/cell. The calculated density is 4.340 Mg/m³. The calculation puts the raw formation energy at -2.4 eV/f.u. Its final energy is -0.1412 hartree per atom.

It has space group Cm (No. 8), with a = 13.410 Å, b = 4.017 Å, c = 4.072 Å, α = 90.00°, β = 90.67° and γ = 90.00°. The distinct sites, in fractional coordinates, are Li at (0.000, 0.000, 0.000), Sb at (0.174, 0.500, 0.517), Se at (0.209, 0.000, 0.976) and Se at (0.485, 0.000, 0.492).

---

# 2
DFT (PBE) results for a geometry-optimized SrCdRu2 structure.

The calculation puts the spin magnetization at 1.64 μB/cell. The calculated density is 7.846 Mg/m³. The calculation puts the formation energy from the elements at 0.58 eV/atom. Its final energy is -0.1730 hartree per atom.

It has space group Pmmm (No. 47), with a = 3.002 Å, b = 4.339 Å, c = 6.534 Å, α = 90.00°, β = 90.00° and γ = 90.00°. The distinct sites, in fractional coordinates, are Sr at (0.000, 0.000, 0.000), Cd at (0.000, 0.000, 0.500) and Ru at (0.500, 0.500, 0.319).

---

# 3
DFT (PBE) results for a geometry-optimized LaTbHgAu structure.

The calculation puts the spin magnetization at 0.00 μB/cell. The calculated density is 10.813 Mg/m³. The calculation puts the formation energy from the elements at -0.62 eV/atom. Its final energy is -0.1436 hartree per atom.

It has space group F-43m (No. 216), with a = 7.531 Å, b = 7.531 Å, c = 7.531 Å, α = 90.00°, β = 90.00° and γ = 90.00°. The distinct sites, in fractional coordinates, are La at (0.000, 0.000, 0.000), Tb at (0.000, 0.000, 0.500), Hg at (0.250, 0.250, 0.750) and Au at (0.250, 0.250, 0.250).

---

# 4
DFT (PBE) results for a geometry-optimized NdZr2Cu structure.

The calculation puts the spin magnetization at 0.00 μB/cell. The calculated density is 7.181 Mg/m³. The calculation puts the formation energy from the elements at 0.05 eV/atom. Its final energy is -0.2367 hartree per atom.

It has space group P4/mmm (No. 123), with a = 3.356 Å, b = 3.356 Å, c = 8.013 Å, α = 90.00°, β = 90.00° and γ = 90.00°. The distinct sites, in fractional coordinates, are Nd at (0.000, 0.000, 0.000), Zr at (0.500, 0.500, 0.303) and Cu at (0.000, 0.000, 0.500).

---

# 5
DFT (PBE) results for a geometry-optimized TbAlGa2 structure.

The calculation puts the spin magnetization at 0.00 μB/cell. The calculated density is 5.961 Mg/m³. The calculation puts the formation energy from the elements at 0.04 eV/atom. Its final energy is -0.1311 hartree per atom.

It has space group R-3m (No. 166, hexagonal axes), with a = 3.2127 Å, b = 3.2127 Å, c = 30.4168 Å, α = 90.00°, β = 90.00° and γ = 120.00°. The distinct sites, in fractional coordinates, are Tb at (0.0000, 0.0000, 0.0000), Al at (0.0000, 0.0000, 0.5000) and Ga at (0.0000, 0.0000, 0.4161).

---

# 6
DFT (PBE) results for a geometry-optimized BaLiCd2Sb structure.

The calculation puts the spin magnetization at 0.00 μB/cell. The calculated density is 3.636 Mg/m³. The calculation puts the raw formation energy at 4.3 eV/f.u. Its final energy is -0.0406 hartree per atom.

It has space group P4/mmm (No. 123), with a = 6.118 Å, b = 6.118 Å, c = 5.988 Å, α = 90.00°, β = 90.00° and γ = 90.00°. The distinct sites, in fractional coordinates, are Ba at (0.000, 0.000, 0.000), Li at (0.000, 0.000, 0.500), Cd at (0.000, 0.500, 0.000) and Sb at (0.500, 0.500, 0.500).

---

# 7
DFT (PBE) results for a geometry-optimized NpCdCl5 structure.

The calculation puts the spin magnetization at 16.00 μB/cell. The calculated density is 3.506 Mg/m³. The calculation puts the raw formation energy at -9.8 eV/f.u. Its final energy is -0.1728 hartree per atom.

It has space group C2/c (No. 15), with a = 10.902 Å, b = 10.134 Å, c = 10.431 Å, α = 90.00°, β = 120.03° and γ = 90.00°. The distinct sites, in fractional coordinates, are Np at (0.250, 0.250, 0.000), Cd at (0.000, 0.138, 0.250), Cl at (0.000, 0.309, 0.750), Cl at (0.121, 0.296, 0.163) and Cl at (0.174, 0.011, 0.474).

---

# 8
DFT (PBE) results for a geometry-optimized Pa2TiGa3 structure.

The calculation puts the spin magnetization at 0.00 μB/cell. The calculated density is 10.276 Mg/m³. The calculation puts the formation energy from the elements at -0.35 eV/atom. Its final energy is -0.2333 hartree per atom.

It has space group C2/m (No. 12), with a = 9.370 Å, b = 5.396 Å, c = 5.556 Å, α = 90.00°, β = 124.17° and γ = 90.00°. The distinct sites, in fractional coordinates, are Pa at (0.139, 0.000, 0.414), Ti at (0.000, 0.500, 0.500), Ga at (0.000, 0.500, 0.000) and Ga at (0.250, 0.250, 0.000).